The following is a PBE-GGA calculation of crystalline PdRu at its relaxed geometry, from the Alexandria database.

Unit cell a=5.970 b=5.970 c=5.970 alpha=96.15 beta=96.15 gamma=141.80
Element x y z (fractional)
Pd1 0.000 0.319 0.319
Pd2 0.000 0.681 0.681
Pd3 0.319 0.000 0.319
Pd4 0.681 0.000 0.681
Ru1 0.343 0.343 0.686
Ru2 0.343 0.657 0.000
Ru3 0.657 0.343 0.000
Ru4 0.657 0.657 0.314

Summary:
* energy of formation from the pure elements: 0.3310 eV per atom
* Fermi-level density of states: 0.80 states/eV/atom
* calculated density: 11.082 g/cm³

The following is a PBE-GGA calculation of crystalline PdRu5 at its relaxed geometry, from the Alexandria database.

Unit cell a=6.058 b=6.058 c=3.850 alpha=90.00 beta=90.00 gamma=143.11
Element x y z (fractional)
Pd1 0.000 0.000 0.000
Ru1 0.169 0.831 0.500
Ru2 0.328 0.672 0.000
Ru3 0.500 0.500 0.500
Ru4 0.672 0.328 0.000
Ru5 0.831 0.169 0.500

Summary:
* energy of formation from the pure elements: 0.1522 eV per atom
* Fermi-level density of states: 1.13 states/eV/atom
* calculated density: 11.976 g/cm³

The following is a PBE-GGA calculation of crystalline PdRu at its relaxed geometry, from the Alexandria database.

Unit cell a=6.640 b=6.640 c=6.640 alpha=109.47 beta=109.47 gamma=109.47
Element x y z (fractional)
Pd1 0.000 0.000 0.325
Pd2 0.000 0.325 0.000
Pd3 0.325 0.000 0.000
Pd4 0.675 0.675 0.675
Ru1 0.000 0.000 0.691
Ru2 0.000 0.691 0.000
Ru3 0.309 0.309 0.309
Ru4 0.691 0.000 0.000

Summary:
* energy of formation from the pure elements: 1.7130 eV per atom
* Fermi-level density of states: 1.51 states/eV/atom
* calculated density: 6.115 g/cm³

The following is a PBE-GGA calculation of crystalline Pd4Ru at its relaxed geometry, from the Alexandria database.

Unit cell a=4.725 b=4.725 c=4.725 alpha=90.00 beta=90.00 gamma=90.00
Element x y z (fractional)
Pd1 0.000 0.000 0.000
Pd2 0.000 0.500 0.500
Pd3 0.500 0.000 0.500
Pd4 0.500 0.500 0.000
Ru1 0.500 0.500 0.500

Summary:
* energy of formation from the pure elements: 1.2630 eV per atom
* Fermi-level density of states: 1.01 states/eV/atom
* calculated density: 8.290 g/cm³

The following is a PBE-GGA calculation of crystalline PdRu at its relaxed geometry, from the Alexandria database.

Unit cell a=2.742 b=2.742 c=7.809 alpha=90.00 beta=90.00 gamma=90.00
Element x y z (fractional)
Pd1 0.250 0.250 0.132
Pd2 0.750 0.750 0.868
Ru1 0.250 0.250 0.610
Ru2 0.750 0.750 0.390

Summary:
* energy of formation from the pure elements: 0.0733 eV per atom
* Fermi-level density of states: 1.29 states/eV/atom
* calculated density: 11.736 g/cm³

The following is a PBE-GGA calculation of crystalline PdRu4 at its relaxed geometry, from the Alexandria database.

Unit cell a=4.689 b=4.689 c=4.689 alpha=90.00 beta=90.00 gamma=90.00
Element x y z (fractional)
Pd1 0.000 0.000 0.000
Ru1 0.000 0.000 0.500
Ru2 0.000 0.500 0.000
Ru3 0.500 0.000 0.000
Ru4 0.500 0.500 0.500

Summary:
* energy of formation from the pure elements: 2.3706 eV per atom
* Fermi-level density of states: 1.31 states/eV/atom
* calculated density: 8.228 g/cm³